1.
{"formula": "CsLiHf3", "functional": "PBE", "state": "relaxed", "formation_enthalpy_0k_ev_per_atom": 1.36, "space_group": "No. 221", "rho_g_cm3": 8.77, "relative_energy_ev_per_fu": 0.000, "cell": [[5.037, 0.000, 0.000], [0.000, 5.037, 0.000], [0.000, 0.000, 5.037]], "species": ["Cs", "Li", "Hf", "Hf", "Hf"], "fractional_positions": [[0.000, 0.000, 0.000], [0.500, 0.500, 0.500], [0.000, 0.500, 0.500], [0.500, 0.000, 0.500], [0.500, 0.500, 0.000]]}

---

2.
{"formula": "LaPaSe3", "functional": "PBE", "state": "relaxed", "space_group": "No. 65", "e_form_raw_ev_per_atom": -1.447, "rho_g_cm3": 7.48, "relative_energy_ev_per_fu": 1.162, "cell": [[2.819, -8.081, 0.000], [2.819, 8.081, 0.000], [0.000, 0.000, 5.914]], "species": ["La", "La", "Pa", "Pa", "Se", "Se", "Se", "Se", "Se", "Se"], "fractional_positions": [[0.126, 0.874, 0.000], [0.874, 0.126, 0.000], [0.345, 0.655, 0.500], [0.655, 0.345, 0.500], [0.157, 0.843, 0.500], [0.309, 0.691, 0.000], [0.500, 0.500, 0.247], [0.500, 0.500, 0.753], [0.691, 0.309, 0.000], [0.843, 0.157, 0.500]]}

---

3.
{"formula": "CaSm4HoS8", "functional": "PBE", "state": "relaxed", "space_group": "No. 160", "e_form_raw_ev_per_atom": -1.986, "rho_g_cm3": 4.51, "cell": [[4.116, 2.376, 6.673], [-4.116, 2.376, 6.673], [0.000, -4.753, 6.673]], "species": ["Ca", "Sm", "Sm", "Sm", "Sm", "Ho", "S", "S", "S", "S", "S", "S", "S", "S"], "fractional_positions": [[0.000, 0.000, 0.000], [0.119, 0.626, 0.626], [0.249, 0.249, 0.249], [0.626, 0.119, 0.626], [0.626, 0.626, 0.119], [0.627, 0.627, 0.627], [0.382, 0.382, 0.382], [0.387, 0.387, 0.848], [0.387, 0.848, 0.387], [0.404, 0.861, 0.861], [0.848, 0.387, 0.387], [0.861, 0.404, 0.861], [0.861, 0.861, 0.404], [0.866, 0.866, 0.866]]}

---

4.
{"formula": "HoCrGe", "functional": "PBE", "state": "relaxed", "formation_enthalpy_0k_ev_per_atom": -0.07, "space_group": "No. 12", "rho_g_cm3": 7.78, "cell": [[2.987, -2.792, 0.000], [2.987, 2.792, 0.000], [-2.976, 0.000, 7.410]], "species": ["Ho", "Ho", "Cr", "Cr", "Ge", "Ge"], "fractional_positions": [[0.148, 0.148, 0.297], [0.852, 0.852, 0.703], [0.343, 0.343, 0.000], [0.657, 0.657, 0.000], [0.343, 0.343, 0.686], [0.657, 0.657, 0.314]]}

---

no.,volume (Å³/cell)
1,127.8
2,269.5
3,391.6
4,123.6